(1)
The following is a DFT calculation (PBE) of a relaxed CsAgPCl2 crystal.

Geometry as POSCAR:
```
CsAgPCl2
1.0
6.395 0.000 0.000
0.000 6.395 0.000
0.000 0.000 5.942
Cs Ag P Cl
1 1 1 2
Cartesian
0.000 0.000 0.000
3.198 3.198 2.971
0.000 0.000 2.971
0.000 3.198 0.000
3.198 0.000 0.000
```

Output
Total moment ... 0.399 μB/atom
ΔE to the lowest computed polymorph ... 0.9346 eV/atom
Formation energy from raw total energies ... 49.5 kJ/mol of atoms
Final energy ... -2.0487 eV/atom



(2)
The following is a DFT calculation (PBE) of a relaxed CsAgPCl2 crystal.

Geometry as POSCAR:
```
CsAgPCl2
1.0
5.579 0.000 0.000
0.000 5.579 0.000
0.000 0.000 4.714
Cs Ag P Cl
1 1 1 2
Cartesian
0.000 0.000 0.000
2.789 2.789 2.357
2.789 2.789 0.000
0.000 2.789 2.357
2.789 0.000 2.357
```

Output
Total moment ... 0.406 μB/atom
ΔE to the lowest computed polymorph ... 0.0000 eV/atom
Formation energy from raw total energies ... -40.7 kJ/mol of atoms
Final energy ... -2.9832 eV/atom



(3)
The following is a DFT calculation (PBE) of a relaxed CsPaAgCl6 crystal.

Geometry as POSCAR:
```
CsPaAgCl6
1.0
7.734 0.000 0.000
-3.867 6.698 0.000
0.000 0.000 11.535
Cs Pa Ag Cl
2 2 2 12
Cartesian
0.000 4.465 2.884
3.867 2.233 8.651
0.000 4.465 8.651
3.867 2.233 2.884
0.000 0.000 0.000
0.000 0.000 5.767
-0.788 2.454 7.089
-2.135 4.788 10.213
0.788 2.454 10.213
-1.347 6.153 7.089
2.520 0.545 1.322
1.731 1.910 4.446
2.135 4.788 7.089
1.347 6.153 10.213
5.214 0.545 4.446
3.079 4.243 1.322
6.002 1.910 1.322
4.655 4.243 4.446
```

Output
Total moment ... 0.112 μB/atom
Formation energy from raw total energies ... -152.1 kJ/mol of atoms
Final energy ... -4.2742 eV/atom



(4)
The following is a DFT calculation (PBE) of a relaxed Cs2Ag2PbCl6 crystal.

Geometry as POSCAR:
```
Cs2Ag2PbCl6
1.0
6.970 -3.956 0.000
6.970 3.956 0.000
-3.899 0.000 7.022
Cs Ag Pb Cl
2 2 1 6
Cartesian
2.452 0.000 1.365
7.590 0.000 5.657
3.033 0.000 5.531
7.008 0.000 1.490
-1.949 0.000 3.511
5.485 2.014 1.398
0.780 0.000 4.476
4.557 2.014 5.623
5.485 -2.014 1.398
9.262 0.000 2.546
4.557 -2.014 5.623
```

Output
Total moment ... 0.000 μB/atom
Formation energy from raw total energies ... -116.7 kJ/mol of atoms
Final energy ... -3.2276 eV/atom



Which of these has the highest final energy? number 1



Look up the total moment of the first one. 0.399 μB/atom